DFT (PBE+U) results for a relaxed structure of FeC3O.

Calculated values
Density: 3.76 Mg/m³
V: 47.69 Å³ per cell
Total magnetic moment: 0.000 μB per atom
Offset from the most stable computed form: 0.000 eV per atom

a = 3.6263 Å, b = 3.6263 Å, c = 3.6263 Å
α = 90.00°, β = 90.00°, γ = 90.00°
Sites, in units of the cell vectors:
Fe: 0.0000 0.0000 0.0000
O: 0.5000 0.5000 0.5000
C: 0.5000 0.0000 0.0000
C: 0.0000 0.5000 0.0000
C: 0.0000 0.0000 0.5000